*A*
A relaxed CrFeAs4 crystal, computed with GGA-PBE.

## Properties
Spin magnetization: 1.254 μB per atom
Calculated volume: 115 Å³ per cell

Lattice parameters (Å, degrees): 5.457 5.457 5.457 60.00 60.00 60.00
Positions (direct):
Cr 0.250 0.250 0.250
As 0.626 0.626 0.626
As 0.626 0.123 0.626
As 0.123 0.626 0.626
As 0.626 0.626 0.123
Fe 0.000 0.000 0.000

*B*
A relaxed CrFeAs4 crystal, computed with GGA-PBE.

## Properties
Spin magnetization: 0.338 μB per atom
Calculated volume: 97 Å³ per cell

Lattice parameters (Å, degrees): 2.901 5.443 6.162 89.89 90.00 90.00
Positions (direct):
As 0.000 0.833 0.644
As 0.000 0.167 0.356
As 0.500 0.317 0.871
As 0.500 0.683 0.129
Cr 0.500 0.500 0.500
Fe 0.000 0.000 0.000

*C*
A relaxed CrFeAs4 crystal, computed with GGA-PBE.

## Properties
Spin magnetization: 0.637 μB per atom
Calculated volume: 208 Å³ per cell

Lattice parameters (Å, degrees): 6.094 6.220 5.697 90.00 74.86 90.00
Positions (direct):
As 0.598 0.630 0.598
As 0.847 0.642 0.070
As 0.402 0.370 0.402
As 0.153 0.358 0.930
As 0.653 0.142 0.930
As 0.902 0.130 0.402
As 0.098 0.870 0.598
As 0.347 0.858 0.070
Fe 0.500 0.500 0.000
Fe 0.000 0.000 0.000
Cr 0.000 0.500 0.500
Cr 0.500 0.000 0.500

The data favor *B*; the next most stable structure lies 197 meV per atom above it.

*A*
A relaxed CrFe3As crystal, computed with GGA-PBE.

## Properties
Spin magnetization: 0.948 μB per atom
Calculated volume: 77 Å³ per cell

Lattice parameters (Å, degrees): 4.261 4.261 4.261 90.00 90.00 90.00
Positions (direct):
Fe 0.000 0.500 0.000
Fe 0.000 0.000 0.500
Fe 0.500 0.000 0.000
As 0.500 0.500 0.500
Cr 0.000 0.000 0.000

*B*
A relaxed CrFe3As crystal, computed with GGA-PBE.

## Properties
Spin magnetization: 0.602 μB per atom
Calculated volume: 85 Å³ per cell

Lattice parameters (Å, degrees): 4.390 4.390 4.390 90.00 90.00 90.00
Positions (direct):
Fe 0.500 0.000 0.000
Fe 0.000 0.500 0.000
Fe 0.000 0.000 0.500
As 0.000 0.000 0.000
Cr 0.500 0.500 0.500

The data favor *B*; the next most stable structure lies 311 meV per atom above it.